Entry 1:
# RbPr2Zn

An optimized crystal structure of RbPr2Zn (PBE, Alexandria).

Results
**Spin magnetization**: 0.00 μB/cell
**Crystal system**: trigonal
**E**: -2.7731 eV/atom
**Symmetry**: R-3m (166)
**Formation enthalpy at 0 K**: 0.18 eV per atom

The structure in CIF format:
```
data_RbPr2Zn
_space_group_name_H-M_alt 'P 1'
_space_group_IT_number 1
_cell_length_a 12.590
_cell_length_b 12.590
_cell_length_c 12.590
_cell_angle_alpha 17.59
_cell_angle_beta 17.59
_cell_angle_gamma 17.59
loop_
_space_group_symop_operation_xyz
'x,y,z'
loop_
_atom_site_label
_atom_site_fract_x
_atom_site_fract_y
_atom_site_fract_z
_atom_site_occupancy
Rb1 0.000 0.000 0.000 1
Pr1 0.110 0.110 0.110 1
Pr2 0.890 0.890 0.890 1
Zn1 0.500 0.500 0.500 1
```

---

Entry 2:
# PrRe4

An optimized crystal structure of PrRe4 (PBE, Alexandria).

Results
**Spin magnetization**: 1.79 μB/cell
**Crystal system**: cubic
**E**: -7.1381 eV/atom
**Symmetry**: Pm-3m (221)
**Formation enthalpy at 0 K**: 3.78 eV per atom

The structure in CIF format:
```
data_PrRe4
_space_group_name_H-M_alt 'P 1'
_space_group_IT_number 1
_cell_length_a 4.804
_cell_length_b 4.804
_cell_length_c 4.804
_cell_angle_alpha 90.00
_cell_angle_beta 90.00
_cell_angle_gamma 90.00
loop_
_space_group_symop_operation_xyz
'x,y,z'
loop_
_atom_site_label
_atom_site_fract_x
_atom_site_fract_y
_atom_site_fract_z
_atom_site_occupancy
Pr1 0.000 0.000 0.000 1
Re1 0.000 0.000 0.500 1
Re2 0.000 0.500 0.000 1
Re3 0.500 0.000 0.000 1
Re4 0.500 0.500 0.500 1
```

---

Q: Among the records above, which one has the highest E?
A: RbPr2Zn

---

Q: Among the records above, which one has the lowest E?
A: PrRe4

---

Q: Number 1 is which compound?
A: RbPr2Zn